Computed, not measured: crystalline MnPH2CO6 at its relaxed geometry at the PBE with a Hubbard U level of DFT.

**Uncorrected energy**: -152.523 eV/cell
**Size of the total moment**: 0.455 μB/atom
**SG**: No. 12

a b c (Å): 5.536 6.119 8.227
angles (deg): 111.83 97.83 68.52
Positions (direct):
O 0.009 0.815 0.219
P 0.000 0.330 0.660
Mn 0.500 0.193 0.385
H 0.178 0.819 0.189
C 0.442 0.903 0.000
O 0.600 0.096 0.852
O 0.600 0.244 0.148
O 0.400 0.756 0.852
O 0.991 0.404 0.219
O 0.749 0.388 0.554
P 0.000 0.670 0.340
C 0.558 0.097 0.000
O 0.251 0.166 0.554
H 0.822 0.181 0.811
O 0.251 0.612 0.446
O 0.749 0.834 0.446
O 0.400 0.904 0.148
H 0.178 0.629 0.811
O 0.009 0.596 0.781
H 0.822 0.371 0.189
O 0.991 0.185 0.781
Mn 0.500 0.807 0.615